GeBiBr5: relaxed, GGA-PBE.

```
GeBiBr5
1.0
9.957 0.000 0.000
0.000 10.199 0.000
0.000 0.000 6.262
Ge Bi Br
2 2 10
direct
0.000 0.000 0.000
0.500 0.500 0.500
0.000 0.500 0.289
0.500 0.000 0.789
0.000 0.000 0.617
0.000 0.283 0.024
0.000 0.717 0.024
0.215 0.500 0.567
0.285 0.000 0.067
0.500 0.217 0.524
0.500 0.500 0.117
0.500 0.783 0.524
0.715 0.000 0.067
0.785 0.500 0.567
```

Summary:
Size of the total moment ... 0.00 μB/f.u.
E_form (uncorrected) ... -552.8 meV per atom
Polymorph energy (0 for the lowest one) ... 81 meV per atom

Ge2Bi2Br: relaxed, GGA-PBE.

```
Ge2Bi2Br
1.0
4.440 0.000 0.000
0.000 4.440 0.000
0.000 0.000 15.069
Ge Bi Br
4 4 2
direct
0.000 0.500 0.250
0.000 0.500 0.750
0.500 0.000 0.250
0.500 0.000 0.750
0.000 0.000 0.125
0.000 0.000 0.875
0.500 0.500 0.375
0.500 0.500 0.625
0.000 0.000 0.500
0.500 0.500 0.000
```

Summary:
Size of the total moment ... 0.00 μB/f.u.
E_form (uncorrected) ... -43.2 meV per atom
Polymorph energy (0 for the lowest one) ... 0 meV per atom

Ge3BiBr: relaxed, GGA-PBE.

```
Ge3BiBr
1.0
5.230 0.000 0.000
0.000 5.230 0.000
0.000 0.000 5.230
Ge Bi Br
3 1 1
direct
0.000 0.000 0.500
0.000 0.500 0.000
0.500 0.000 0.000
0.500 0.500 0.500
0.000 0.000 0.000
```

Summary:
Size of the total moment ... 0.00 μB/f.u.
E_form (uncorrected) ... 797.2 meV per atom
Polymorph energy (0 for the lowest one) ... 0 meV per atom

Ge3BiBr: relaxed, GGA-PBE.

```
Ge3BiBr
1.0
5.654 0.000 0.000
0.000 5.654 0.000
0.000 0.000 5.654
Ge Bi Br
3 1 1
direct
0.000 0.000 0.500
0.000 0.500 0.000
0.500 0.000 0.000
0.000 0.000 0.000
0.500 0.500 0.500
```

Summary:
Size of the total moment ... 0.00 μB/f.u.
E_form (uncorrected) ... 919.4 meV per atom
Polymorph energy (0 for the lowest one) ... 122 meV per atom

Ge2Bi2Br: relaxed, GGA-PBE.

```
Ge2Bi2Br
1.0
8.769 0.000 0.000
0.000 8.769 0.000
0.000 0.000 3.506
Ge Bi Br
4 4 2
direct
0.144 0.356 0.000
0.356 0.856 0.000
0.644 0.144 0.000
0.856 0.644 0.000
0.146 0.646 0.500
0.354 0.146 0.500
0.646 0.854 0.500
0.854 0.354 0.500
0.000 0.000 0.000
0.500 0.500 0.000
```

Summary:
Size of the total moment ... 0.00 μB/f.u.
E_form (uncorrected) ... 151.2 meV per atom
Polymorph energy (0 for the lowest one) ... 194 meV per atom

KGe2BiBr8: relaxed, GGA-PBE.

```
KGe2BiBr8
1.0
6.772 0.000 0.000
0.524 7.274 0.000
0.293 0.593 9.180
K Ge Bi Br
1 2 1 8
direct
0.000 0.000 0.000
0.456 0.456 0.252
0.544 0.544 0.748
0.000 0.000 0.500
0.235 0.816 0.281
0.239 0.323 0.468
0.267 0.853 0.726
0.276 0.359 0.044
0.724 0.641 0.956
0.733 0.147 0.274
0.761 0.677 0.532
0.765 0.184 0.719
```

Summary:
Size of the total moment ... 0.00 μB/f.u.
E_form (uncorrected) ... -791.4 meV per atom